MoAs7 GGA-PBEsol relaxed; DOS(E_F) = 4.16 states/eV/f.u.; DFT total energy = -43.6 eV for the cell shown; density = 7293 kg/m3; ΔE_f = 486 meV/atom
1.0
5.846 0.000 0.000
2.923 5.063 0.000
2.923 1.688 4.773
Mo As
1 7
Direct
0.000 0.000 0.000
0.500 0.500 0.000
0.000 0.500 0.000
0.500 0.000 0.000
0.500 0.500 0.500
0.000 0.500 0.500
0.500 0.000 0.500
0.000 0.000 0.500